(1)
# EuThZnSn

A geometry-optimized EuThZnSn structure (PBE-GGA, Alexandria).

Cell lengths 5.373, 5.373, 5.373 Å; angles 60.00, 60.00, 60.00 degrees
Sites, in units of the cell vectors:
Eu 0.000 0.000 0.000
Th 0.500 0.500 0.500
Zn 0.250 0.250 0.250
Sn 0.750 0.750 0.750

Properties
Mass density, g cm⁻³: 8.60
E_form, kJ/mol of atoms: -32.5

---

(2)
# EuTiSn2

A geometry-optimized EuTiSn2 structure (PBE-GGA, Alexandria).

Cell lengths 6.393, 6.393, 6.393 Å; angles 42.33, 42.33, 42.33 degrees
Sites, in units of the cell vectors:
Eu 0.000 0.000 0.000
Ti 0.500 0.500 0.500
Sn 0.227 0.227 0.227
Sn 0.773 0.773 0.773

Properties
Distance to the lowest polymorph of the same formula, meV/atom: 62
Mass density, g cm⁻³: 6.77
E_form, kJ/mol of atoms: -28.7

---

(3)
# EuTiSn2

A geometry-optimized EuTiSn2 structure (PBE-GGA, Alexandria).

Cell lengths 3.734, 3.734, 7.101 Å; angles 90.00, 90.00, 90.00 degrees
Sites, in units of the cell vectors:
Eu 0.000 0.000 0.000
Ti 0.000 0.000 0.500
Sn 0.500 0.500 0.295
Sn 0.500 0.500 0.705

Properties
Distance to the lowest polymorph of the same formula, meV/atom: 0
Mass density, g cm⁻³: 7.33
E_form, kJ/mol of atoms: -34.7

---

(4)
# EuTlSn

A geometry-optimized EuTlSn structure (PBE-GGA, Alexandria).

Cell lengths 5.289, 5.289, 5.289 Å; angles 60.00, 60.00, 60.00 degrees
Sites, in units of the cell vectors:
Eu 0.000 0.000 0.000
Tl 0.500 0.500 0.500
Sn 0.250 0.250 0.250

Properties
Distance to the lowest polymorph of the same formula, meV/atom: 110
Mass density, g cm⁻³: 7.54
E_form, kJ/mol of atoms: -27.8

---

Question: Which of these has the lowest mass density?
Answer: number 2

---

Please write out number 1 again, unchanged.
# EuThZnSn

A geometry-optimized EuThZnSn structure (PBE-GGA, Alexandria).

Cell lengths 5.373, 5.373, 5.373 Å; angles 60.00, 60.00, 60.00 degrees
Sites, in units of the cell vectors:
Eu 0.000 0.000 0.000
Th 0.500 0.500 0.500
Zn 0.250 0.250 0.250
Sn 0.750 0.750 0.750

Properties
Mass density, g cm⁻³: 8.60
E_form, kJ/mol of atoms: -32.5